# PBE Nd8IrRu3I4, optimized geometry
# E_form (uncorrected) ... -11.2 eV per formula unit
# Total magnetic moment ... 0.00 μB per cell
# Density ... 7.29 Mg/m³
# VASP energy ... -5.765 eV/atom
# Calculated volume ... 30.73 A^3/atom
data_Nd8IrRu3I4
_chemical_formula_sum 'Nd24 Ir3 Ru9 I12'
_cell_length_a 8.3399
_cell_length_b 8.3399
_cell_length_c 24.4869
_cell_angle_alpha 90.00
_cell_angle_beta 90.00
_cell_angle_gamma 120.00
_symmetry_space_group_name_H-M 'R -3 m'
_symmetry_Int_Tables_number 166
_symmetry_space_group_name_Hall '-R 3 2"'
loop_
_atom_site_label
_atom_site_fract_x
_atom_site_fract_y
_atom_site_fract_z
Nd1 0.0000 0.0000 0.2288
Nd2 0.0041 0.5020 0.7717
Ir1 0.0000 0.0000 0.5000
Ru1 0.0000 0.5000 0.5000
I1 0.0000 0.0000 0.0000
I2 0.0000 0.5000 0.0000

# PBE Nb3Fe12Ru5, optimized geometry
# Total magnetic moment ... 118.14 μB per cell
# Density ... 7.38 Mg/m³
# VASP energy ... -7.872 eV/atom
# Calculated volume ... 16.35 A^3/atom
# Formation energy ... 20.7 eV/f.u.
data_Nb3Fe12Ru5
_chemical_formula_sum 'Nb24 Fe96 Ru40'
_cell_length_a 13.780
_cell_length_b 13.780
_cell_length_c 13.780
_cell_angle_alpha 90.00
_cell_angle_beta 90.00
_cell_angle_gamma 90.00
_symmetry_space_group_name_H-M 'I a -3 d'
_symmetry_Int_Tables_number 230
_symmetry_space_group_name_Hall '-I 4bd 2c 3'
loop_
_atom_site_label
_atom_site_fract_x
_atom_site_fract_y
_atom_site_fract_z
Nb1 0.000 0.250 0.125
Fe1 0.013 0.076 0.652
Ru1 0.000 0.000 0.000
Ru2 0.000 0.250 0.375